A relaxed Na2VCSO7 crystal. Source: Alexandria via LeMat-Bulk, functional PBE+U.

abc: 5.3203 6.7652 9.1895
angles: 90.00 91.96 90.00
Atoms (fractional coordinates):
Na 0.2330 0.0036 0.2923
Na 0.2330 0.4964 0.2923
Na 0.7670 0.5036 0.7077
Na 0.7670 0.9964 0.7077
V 0.2189 0.7500 0.8578
V 0.7811 0.2500 0.1422
C 0.2765 0.7500 0.5833
C 0.7235 0.2500 0.4167
S 0.2761 0.2500 0.9186
S 0.7239 0.7500 0.0814
O 0.0542 0.7500 0.6419
O 0.1710 0.2500 0.0677
O 0.1873 0.0724 0.8366
O 0.1873 0.4276 0.8366
O 0.3061 0.7500 0.4474
O 0.4418 0.7500 0.0675
O 0.4676 0.7500 0.6792
O 0.5324 0.2500 0.3208
O 0.5582 0.2500 0.9325
O 0.6939 0.2500 0.5526
O 0.8127 0.5724 0.1634
O 0.8127 0.9276 0.1634
O 0.8290 0.7500 0.9323
O 0.9458 0.2500 0.3581

Summary:
SG: P2_1/m, No. 11
Total energy: -156.7 eV per cell